1) A plane-wave DFT calculation with PBE was carried out for a relaxed structure of BeHgBr2.

Values from the calculation:
Symmetry: Cmmm (65)

Unit cell a=4.4315 b=4.4315 c=11.0414 alpha=90.00 beta=90.00 gamma=136.17
With the nearest neighbours (Å) after each atom.
Sites, in units of the cell vectors:
1 Be 0.5000 0.5000 0.7500  4 Br 2.29
2 Hg 0.5000 0.5000 0.2500  2 Hg 3.31
3 Br 0.0000 0.0000 0.8931  2 Be 2.29
4 Br 0.0000 0.0000 0.6069  2 Be 2.29

---

2) A plane-wave DFT calculation with PBE was carried out for a relaxed structure of BeHgBr2.

Values from the calculation:
Symmetry: R-3m (166)

Unit cell a=10.6775 b=10.6775 c=10.6775 alpha=18.93 beta=18.93 gamma=18.93
With the nearest neighbours (Å) after each atom.
Sites, in units of the cell vectors:
1 Be 0.7500 0.7500 0.7500  6 Br 2.45
2 Hg 0.2500 0.2500 0.2500  6 Hg 3.51
3 Br 0.0398 0.0398 0.0398  3 Be 2.45
4 Br 0.4602 0.4602 0.4602  3 Be 2.45

---

3) A plane-wave DFT calculation with PBE was carried out for a relaxed structure of BeHgBr2.

Values from the calculation:
Symmetry: F-43m (216)

Unit cell a=5.1266 b=5.1266 c=5.1266 alpha=60.00 beta=60.00 gamma=60.00
With the nearest neighbours (Å) after each atom.
Sites, in units of the cell vectors:
1 Be 0.5000 0.5000 0.5000  4 Hg 3.14, 4 Br 3.14
2 Hg 0.7500 0.7500 0.7500  4 Br 3.14, 4 Be 3.14
3 Br 0.0000 0.0000 0.0000  4 Br 3.14, 4 Hg 3.14
4 Br 0.2500 0.2500 0.2500  4 Be 3.14, 4 Br 3.14

---

4) A plane-wave DFT calculation with PBE was carried out for a relaxed structure of BeHgBr2.

Values from the calculation:
Symmetry: P4mm (99)

Unit cell a=3.1918 b=3.1918 c=9.1559 alpha=90.00 beta=90.00 gamma=90.00
With the nearest neighbours (Å) after each atom.
Sites, in units of the cell vectors:
1 Be 0.5000 0.5000 0.7703  4 Br 2.57
2 Hg 0.0000 0.0000 0.5537  4 Be 3.00, 4 Hg 3.19, 1 Br 3.21
3 Br 0.0000 0.0000 0.9045  4 Be 2.57
4 Br 0.5000 0.5000 0.2715  4 Br 3.19, 4 Hg 3.43

---

Taking the most stable structure as the zero point, the relative energies in meV/atom are 1) 64; 2) 0; 3) 1164; 4) 752.

---

1) A plane-wave DFT calculation with PBE was carried out for a relaxed structure of BeHgBr2.

Values from the calculation:
Symmetry: Pmmm (47)

Unit cell a=3.9943 b=7.6868 c=3.9630 alpha=90.00 beta=90.00 gamma=90.00
With the nearest neighbours (Å) after each atom.
Sites, in units of the cell vectors:
1 Be 0.0000 0.5000 0.5000  4 Br 2.81
2 Hg 0.5000 0.0000 0.5000  4 Br 2.81
3 Br 0.0000 0.0000 0.0000  4 Hg 2.81
4 Br 0.5000 0.5000 0.0000  4 Be 2.81

---

2) A plane-wave DFT calculation with PBE was carried out for a relaxed structure of BeHgBr2.

Values from the calculation:
Symmetry: P4/mmm (123)

Unit cell a=3.2552 b=3.2552 c=10.0173 alpha=90.00 beta=90.00 gamma=90.00
With the nearest neighbours (Å) after each atom.
Sites, in units of the cell vectors:
1 Be 0.5000 0.5000 0.7500  8 Br 2.77
2 Hg 0.5000 0.5000 0.2500  4 Hg 3.26
3 Br 0.0000 0.0000 0.9038  4 Be 2.77, 1 Br 3.08
4 Br 0.0000 0.0000 0.5962  4 Be 2.77, 1 Br 3.08

---

3) A plane-wave DFT calculation with PBE was carried out for a relaxed structure of BeHgBr2.

Values from the calculation:
Symmetry: C2/m (12)

Unit cell a=5.9496 b=5.9496 c=4.3953 alpha=63.86 beta=63.86 gamma=83.42
With the nearest neighbours (Å) after each atom.
Sites, in units of the cell vectors:
1 Be 0.0000 0.5000 0.5000  4 Br 2.81
2 Hg 0.5000 0.0000 0.5000  4 Br 2.81
3 Br 0.0000 0.0000 0.0000  2 Hg 2.81, 2 Be 2.81
4 Br 0.5000 0.5000 0.0000  2 Be 2.81, 2 Hg 2.81

---

Taking the most stable structure as the zero point, the relative energies in meV/atom are 1) 287; 2) 0; 3) 282.